# 1
Entry from Alexandria via LeMat-Bulk: an optimized crystal structure of Th2Ni (PBE).

```
data_Th2Ni
_chemical_formula_sum 'Th8 Ni4'
_space_group_name_H-M_alt 'C 1 2/m 1'
_space_group_IT_number 12
_cell_length_a 11.7321
_cell_length_b 3.7145
_cell_length_c 8.7014
_cell_angle_alpha 90.00
_cell_angle_beta 126.90
_cell_angle_gamma 90.00
loop_
_space_group_symop_operation_xyz
'x,y,z'
'-x,-y,-z'
'-x,y,-z'
'x,-y,z'
'x+1/2,y+1/2,z'
'-x+1/2,-y+1/2,-z'
'-x+1/2,y+1/2,-z'
'x+1/2,-y+1/2,z'
loop_
_atom_site_label
_atom_site_fract_x
_atom_site_fract_y
_atom_site_fract_z
_atom_site_occupancy
Th1 0.0679 0.0000 0.3521 1
Th2 0.1734 0.5000 0.0825 1
Ni1 0.1337 0.5000 0.6477 1
```



# 2
Entry from Alexandria via LeMat-Bulk: an optimized crystal structure of Th3Ni (PBE).

```
data_Th3Ni
_chemical_formula_sum 'Th3 Ni1'
_space_group_name_H-M_alt 'P m m 2'
_space_group_IT_number 25
_cell_length_a 3.4887
_cell_length_b 3.5241
_cell_length_c 9.3052
_cell_angle_alpha 90.00
_cell_angle_beta 90.00
_cell_angle_gamma 90.00
loop_
_space_group_symop_operation_xyz
'x,y,z'
'-x,-y,z'
'-x,y,z'
'x,-y,z'
loop_
_atom_site_label
_atom_site_fract_x
_atom_site_fract_y
_atom_site_fract_z
_atom_site_occupancy
Th1 0.0000 0.0000 0.0000 1
Th2 0.0000 0.5000 0.3343 1
Th3 0.5000 0.5000 0.7205 1
Ni1 0.5000 0.0000 0.4824 1
```



# 3
Entry from Alexandria via LeMat-Bulk: an optimized crystal structure of Th5Ni2 (PBE).

```
data_Th5Ni2
_chemical_formula_sum 'Th20 Ni8'
_space_group_name_H-M_alt 'C 1 2/c 1'
_space_group_IT_number 15
_cell_length_a 16.6909
_cell_length_b 6.2878
_cell_length_c 7.1369
_cell_angle_alpha 90.00
_cell_angle_beta 96.41
_cell_angle_gamma 90.00
loop_
_space_group_symop_operation_xyz
'x,y,z'
'-x,-y,-z'
'-x,y,-z+1/2'
'x,-y,z+1/2'
'x+1/2,y+1/2,z'
'-x+1/2,-y+1/2,-z'
'-x+1/2,y+1/2,-z+1/2'
'x+1/2,-y+1/2,z+1/2'
loop_
_atom_site_label
_atom_site_fract_x
_atom_site_fract_y
_atom_site_fract_z
_atom_site_occupancy
Th1 0.0000 0.0995 0.2500 1
Th2 0.0963 0.4069 0.9148 1
Th3 0.2155 0.1062 0.3118 1
Ni1 0.1052 0.1665 0.5809 1
```



# 4
Entry from Alexandria via LeMat-Bulk: an optimized crystal structure of Th2Ni3 (PBE).

```
data_Th2Ni3
_chemical_formula_sum 'Th4 Ni6'
_space_group_name_H-M_alt 'P 1 21/c 1'
_space_group_IT_number 14
_cell_length_a 5.2873
_cell_length_b 7.7974
_cell_length_c 5.2034
_cell_angle_alpha 90.00
_cell_angle_beta 119.18
_cell_angle_gamma 90.00
loop_
_space_group_symop_operation_xyz
'x,y,z'
'-x,-y,-z'
'-x,y+1/2,-z+1/2'
'x,-y+1/2,z+1/2'
loop_
_atom_site_label
_atom_site_fract_x
_atom_site_fract_y
_atom_site_fract_z
_atom_site_occupancy
Th1 0.1889 0.0998 0.3436 1
Ni1 0.3025 0.7501 0.1517 1
Ni2 0.5000 0.0000 0.0000 1
```



# 5
Entry from Alexandria via LeMat-Bulk: an optimized crystal structure of Th2Ni3 (PBE).

```
data_Th2Ni3
_chemical_formula_sum 'Th16 Ni24'
_space_group_name_H-M_alt 'I -4 3 d'
_space_group_IT_number 220
_space_group_name_Hall 'I -4bd 2c 3'
_cell_length_a 9.4063
_cell_length_b 9.4063
_cell_length_c 9.4063
_cell_angle_alpha 90.00
_cell_angle_beta 90.00
_cell_angle_gamma 90.00
loop_
_atom_site_label
_atom_site_fract_x
_atom_site_fract_y
_atom_site_fract_z
_atom_site_occupancy
Th1 0.0372 0.0372 0.0372 1
Ni1 0.0000 0.2500 0.2494 1
```



# 6
Entry from Alexandria via LeMat-Bulk: an optimized crystal structure of Th2Ni17 (PBE).

```
data_Th2Ni17
_chemical_formula_sum 'Th6 Ni51'
_space_group_name_H-M_alt 'R -3 m'
_space_group_IT_number 166
_space_group_name_Hall '-R 3 2"'
_cell_length_a 8.3482
_cell_length_b 8.3482
_cell_length_c 12.1513
_cell_angle_alpha 90.00
_cell_angle_beta 90.00
_cell_angle_gamma 120.00
loop_
_atom_site_label
_atom_site_fract_x
_atom_site_fract_y
_atom_site_fract_z
_atom_site_occupancy
Th1 0.0000 0.0000 0.1622 1
Ni1 0.0000 0.0000 0.4007 1
Ni2 0.0000 0.2916 0.5000 1
Ni3 0.0000 0.5000 0.0000 1
Ni4 0.0004 0.5002 0.3456 1
```



Calculated values (eV per atom) of formation enthalpy at 0 K for the records, taken in order: -0.294, 0.059, -0.237, -0.382, -0.237, -0.245.
Calculated values (A^3/atom) of V for the records, taken in order: 25.27, 28.60, 26.58, 18.73, 20.81, 12.87.